Density functional theory data (PBE) for a geometry-optimized Ca2OsRh structure.

Structure (POSCAR):
```
Ca2OsRh
1.0
4.602 -1.480 0.000
4.602 1.480 0.000
-0.689 0.000 5.687
Ca Os Rh
2 1 1
direct
0.248 0.248 0.248 Ca
0.752 0.752 0.752 Ca
0.000 0.000 0.500 Os
0.500 0.500 0.000 Rh
```

Energy in Ha/atom: -0.192
SG: C2/m (12)
E_form in eV/atom: 0.416
Excess energy over the best structure of this formula in the dataset in eV per atom: 0.347